*one*
Below is a relaxed structure of DyMn2O6, with properties calculated at the PBE with a Hubbard U level.

Properties
**Calculated volume**: 106 Å³/f.u.
**Fermi-level density of states**: 0.6359 states/eV/atom

Unit cell a=5.0087 b=5.0087 c=4.8706 alpha=90.00 beta=90.00 gamma=120.00
Space group P-31m (No. 162)
Inequivalent atoms, fractional coordinates:
Dy 0.0000 0.0000 0.0000
Mn 0.3333 0.6667 0.5000
O 0.0000 0.3646 0.7168



*two*
Below is a relaxed structure of DyMn2O6, with properties calculated at the PBE with a Hubbard U level.

Properties
**Calculated volume**: 110 Å³/f.u.
**Fermi-level density of states**: 0.3633 states/eV/atom

Unit cell a=5.4204 b=5.4204 c=4.3127 alpha=90.00 beta=90.00 gamma=120.00
Space group P-31m (No. 162)
Inequivalent atoms, fractional coordinates:
Dy 0.0000 0.0000 0.0000
Mn 0.3333 0.6667 0.0000
O 0.0000 0.3724 0.2252



Short version: *one* is the most stable of them.